# 1
Cd5SbO8 after structural relaxation. Source: Alexandria, functional PBE-GGA.

```
data_Cd5SbO8
_cell_length_a 7.8119
_cell_length_b 7.8119
_cell_length_c 6.8445
_cell_angle_alpha 90.00
_cell_angle_beta 90.00
_cell_angle_gamma 90.00
_space_group_name_H-M_alt 'I -4'
_space_group_IT_number 82
_space_group_name_Hall 'I -4'
loop_
_atom_site_label
_atom_site_type_symbol
_atom_site_fract_x
_atom_site_fract_y
_atom_site_fract_z
Cd1 Cd 0.0000 0.0000 0.0000
Cd2 Cd 0.1912 0.2652 0.3645
Sb1 Sb 0.0000 0.5000 0.7500
O1 O 0.0297 0.2710 0.6433
O2 O 0.0513 0.2639 0.0818
```

Properties
**Fermi-level density of states**: 8.40 states/eV per cell
**Crystal system**: tetragonal
**Formation energy (no corrections)**: -0.94 eV per atom

# 2
ZnIn2Se after structural relaxation. Source: Alexandria, functional PBE-GGA.

```
data_ZnIn2Se
_cell_length_a 3.8411
_cell_length_b 3.8411
_cell_length_c 22.8077
_cell_angle_alpha 90.00
_cell_angle_beta 90.00
_cell_angle_gamma 120.00
_space_group_name_H-M_alt 'R 3 m'
_space_group_IT_number 160
_space_group_name_Hall 'R 3 -2"'
loop_
_atom_site_label
_atom_site_type_symbol
_atom_site_fract_x
_atom_site_fract_y
_atom_site_fract_z
Zn1 Zn 0.0000 0.0000 0.0000
In1 In 0.0000 0.0000 0.2495
In2 In 0.0000 0.0000 0.4806
Se1 Se 0.0000 0.0000 0.7274
```

Properties
**Fermi-level density of states**: 3.82 states/eV per cell
**Crystal system**: trigonal
**Formation energy (no corrections)**: -0.17 eV per atom

# 3
Pr2N after structural relaxation. Source: Alexandria, functional PBE-GGA.

```
data_Pr2N
_cell_length_a 6.3521
_cell_length_b 3.6662
_cell_length_c 6.5205
_cell_angle_alpha 90.00
_cell_angle_beta 90.23
_cell_angle_gamma 90.00
_space_group_name_H-M_alt 'C 1 2/m 1'
_space_group_IT_number 12
_space_group_name_Hall '-C 2y'
loop_
_atom_site_label
_atom_site_type_symbol
_atom_site_fract_x
_atom_site_fract_y
_atom_site_fract_z
Pr1 Pr 0.1675 0.0000 0.2139
N1 N 0.0000 0.5000 0.0000
```

Properties
**Fermi-level density of states**: 6.30 states/eV per cell
**Crystal system**: monoclinic
**Formation energy (no corrections)**: -0.81 eV per atom